# 1
This record from Alexandria via LeMat-Bulk describes crystalline Si8Pt at its relaxed geometry. The functional is GGA-PBE.

a b c (Å): 5.851 5.851 5.851
angles (deg): 99.76 99.76 131.36
Fractional positions:
Si  0.664  0.336  0.000
Si  0.336  0.664  0.000
Si  0.000  0.667  0.667
Si  0.336  0.336  0.672
Si  0.667  0.000  0.667
Si  0.664  0.664  0.328
Si  0.000  0.333  0.333
Si  0.333  0.000  0.333
Pt  0.000  0.000  0.000

Values from the calculation:
Magnetic moment in μB/cell: 0.000
Formation energy without anion corrections in eV per atom: 0.37

---

# 2
This record from Alexandria via LeMat-Bulk describes crystalline GaW2S at its relaxed geometry. The functional is GGA-PBE.

a b c (Å): 4.357 4.357 4.357
angles (deg): 60.00 60.00 60.00
Fractional positions:
S  0.000  0.000  0.000
Ga  0.500  0.500  0.500
W  0.250  0.250  0.250
W  0.750  0.750  0.750

Values from the calculation:
Magnetic moment in μB/cell: 0.000
Formation energy without anion corrections in eV per atom: 0.46

---

# 3
This record from Alexandria via LeMat-Bulk describes crystalline SrB2Ir2 at its relaxed geometry. The functional is GGA-PBE.

a b c (Å): 7.169 6.194 5.633
angles (deg): 74.46 56.34 49.20
Fractional positions:
Sr  0.500  0.500  0.500
Sr  0.750  0.750  0.750
B  0.826  0.174  0.826
B  0.076  0.424  0.076
B  0.174  0.826  0.174
B  0.424  0.076  0.424
Ir  0.131  0.131  0.869
Ir  0.381  0.381  0.119
Ir  0.119  0.119  0.381
Ir  0.869  0.869  0.131

Values from the calculation:
Magnetic moment in μB/cell: 0.000

---

# 4
This record from Alexandria via LeMat-Bulk describes crystalline Pm2DyHoEr2 at its relaxed geometry. The functional is GGA-PBE.

a b c (Å): 3.377 6.526 17.953
angles (deg): 90.00 90.00 90.00
Fractional positions:
Pm  0.500  0.274  0.313
Pm  0.000  0.774  0.187
Pm  0.500  0.726  0.687
Pm  0.000  0.226  0.813
Dy  0.500  0.500  0.000
Dy  0.000  0.000  0.500
Ho  0.000  0.000  0.000
Ho  0.500  0.500  0.500
Er  0.500  0.776  0.355
Er  0.500  0.224  0.645
Er  0.000  0.724  0.855
Er  0.000  0.276  0.145

Values from the calculation:
Magnetic moment in μB/cell: 0.002

---

| no. | E (eV/cell) |
| --- | --- |
| 1 | -46.14 |
| 2 | -31.22 |
| 3 | -71.73 |
| 4 | -52.38 |